Compound: MnSb2N2
Source: the Alexandria database
Functional: PBE
Structure: optimized geometry

The calculation puts the uncorrected formation energy at 99 kJ/mol of atoms. The calculation puts the total energy at -5.786 eV/atom. For the calculated volume, the calculation gives 18.0 Å³ per atom.

The space group is P4/mbm (No. 127) and the conventional cell measures 7.343, 7.343 and 3.330 Å, with angles of 90.00, 90.00 and 90.00 degrees. Symmetry generates all atoms from Mn at (0.000, 0.000, 0.000), Sb at (0.165, 0.335, 0.000) and N at (0.210, 0.710, 0.500).

***

Compound: Mn2SbN
Source: the Alexandria database
Functional: PBE
Structure: optimized geometry

The calculation puts the uncorrected formation energy at 10 kJ/mol of atoms. The calculation puts the total energy at -7.594 eV/atom. For the calculated volume, the calculation gives 17.5 Å³ per atom.

The space group is P4/nmm (No. 129, origin choice 2) and the conventional cell measures 3.814, 3.814 and 9.627 Å, with angles of 90.00, 90.00 and 90.00 degrees. Symmetry generates all atoms from Mn at (0.250, 0.250, 0.036), Mn at (0.250, 0.750, 0.500), Sb at (0.250, 0.250, 0.314) and N at (0.250, 0.750, 0.000).

***

Compound: MnSbSe2N
Source: the Alexandria database
Functional: PBE
Structure: optimized geometry

The calculation puts the uncorrected formation energy at 12 kJ/mol of atoms. The calculation puts the total energy at -5.594 eV/atom. For the calculated volume, the calculation gives 18.4 Å³ per atom.

The space group is P4/mmm (No. 123) and the conventional cell measures 5.090, 5.090 and 3.557 Å, with angles of 90.00, 90.00 and 90.00 degrees. Symmetry generates all atoms from Mn at (0.000, 0.000, 0.000), Sb at (0.500, 0.500, 0.500), Se at (0.000, 0.500, 0.000) and N at (0.000, 0.000, 0.500).